Model A:
First-principles (PBE) data for a geometry-optimized La4Dy4Ho structure, as listed in Alexandria.

## Properties
Calculated volume, A^3/atom: 33.81
Spin magnetization, μB/f.u.: 0.00
Space group: I4/mmm (139)

a = 8.1073 Å, b = 8.1073 Å, c = 8.1073 Å
α = 95.79°, β = 95.79°, γ = 142.98°
Atoms (fractional coordinates):
La (0.1668, 0.1668, 0.3337)
La (0.1668, 0.8332, 0.0000)
La (0.8332, 0.1668, 0.0000)
La (0.8332, 0.8332, 0.6663)
Dy (0.1641, 0.5000, 0.6641)
Dy (0.5000, 0.1641, 0.6641)
Dy (0.5000, 0.8359, 0.3359)
Dy (0.8359, 0.5000, 0.3359)
Ho (0.5000, 0.5000, 0.0000)

Model B:
First-principles (PBE) data for a geometry-optimized La4Dy4Ho structure, as listed in Alexandria.

## Properties
Calculated volume, A^3/atom: 36.71
Spin magnetization, μB/f.u.: 0.00
Space group: Fmm2 (42)

a = 12.8853 Å, b = 12.6263 Å, c = 5.2798 Å
α = 80.82°, β = 75.32°, γ = 23.86°
Atoms (fractional coordinates):
La (0.0000, 0.0000, 0.0000)
La (0.2346, 0.2346, 0.2654)
La (0.4630, 0.4630, 0.5370)
La (0.7346, 0.7346, 0.7654)
Dy (0.0942, 0.6060, 0.9058)
Dy (0.4171, 0.7644, 0.2356)
Dy (0.6060, 0.0942, 0.3940)
Dy (0.7644, 0.4171, 0.5829)
Ho (0.1413, 0.1413, 0.8587)

Most stable: model A (next structure +43.4 kJ/mol of atoms)

Model A:
First-principles (PBE) data for a geometry-optimized La3DyHo7 structure, as listed in Alexandria.

## Properties
Calculated volume, A^3/atom: 33.49
Spin magnetization, μB/f.u.: 0.00
Space group: P-1 (2)

a = 6.5533 Å, b = 6.7279 Å, c = 8.6322 Å
α = 99.89°, β = 98.25°, γ = 95.25°
Atoms (fractional coordinates):
La (0.0000, 0.0000, 0.0000)
La (0.1949, 0.5599, 0.1658)
La (0.8051, 0.4401, 0.8342)
Dy (0.5000, 0.0000, 0.5000)
Ho (0.0116, 0.7697, 0.5774)
Ho (0.2848, 0.2748, 0.7876)
Ho (0.4366, 0.7922, 0.8524)
Ho (0.5000, 0.5000, 0.5000)
Ho (0.5634, 0.2078, 0.1476)
Ho (0.7152, 0.7252, 0.2124)
Ho (0.9884, 0.2303, 0.4226)

Model B:
First-principles (PBE) data for a geometry-optimized La3DyHo7 structure, as listed in Alexandria.

## Properties
Calculated volume, A^3/atom: 34.57
Spin magnetization, μB/f.u.: 0.00
Space group: P3m1 (156)

a = 7.0789 Å, b = 7.0789 Å, c = 8.7622 Å
α = 90.00°, β = 90.00°, γ = 120.00°
Atoms (fractional coordinates):
La (0.0001, 0.5001, 0.0000)
La (0.4999, 0.9999, 0.0000)
La (0.4999, 0.5001, 0.0000)
Dy (0.6667, 0.3333, 0.6589)
Ho (0.1673, 0.3346, 0.6592)
Ho (0.1673, 0.8327, 0.6592)
Ho (0.3333, 0.6667, 0.3410)
Ho (0.3345, 0.1673, 0.3403)
Ho (0.6654, 0.8327, 0.6592)
Ho (0.8327, 0.1673, 0.3403)
Ho (0.8327, 0.6655, 0.3403)

Most stable: model A (next structure +5.0 kJ/mol of atoms)

Model A:
First-principles (PBE) data for a geometry-optimized La7DyHo4 structure, as listed in Alexandria.

## Properties
Calculated volume, A^3/atom: 34.57
Spin magnetization, μB/f.u.: 0.00
Space group: P-1 (2)

a = 6.3978 Å, b = 7.3449 Å, c = 9.0847 Å
α = 89.92°, β = 76.37°, γ = 89.94°
Atoms (fractional coordinates):
La (0.0000, 0.0000, 0.0000)
La (0.2236, 0.9994, 0.3336)
La (0.2809, 0.7476, 0.6643)
La (0.5003, 0.2559, 0.9973)
La (0.4997, 0.7441, 0.0027)
La (0.7191, 0.2524, 0.3357)
La (0.7764, 0.0006, 0.6664)
Dy (0.0000, 0.5000, 0.0000)
Ho (0.2159, 0.5006, 0.3348)
Ho (0.2765, 0.2581, 0.6677)
Ho (0.7235, 0.7419, 0.3323)
Ho (0.7841, 0.4994, 0.6652)

Model B:
First-principles (PBE) data for a geometry-optimized La7DyHo4 structure, as listed in Alexandria.

## Properties
Calculated volume, A^3/atom: 35.32
Spin magnetization, μB/f.u.: 0.01
Space group: C2/m (12)

a = 8.7344 Å, b = 8.7344 Å, c = 9.6410 Å
α = 116.24°, β = 116.24°, γ = 40.82°
Atoms (fractional coordinates):
La (0.0000, 0.0000, 0.0000)
La (0.2775, 0.2775, 0.7484)
La (0.2884, 0.2884, 0.1060)
La (0.4111, 0.4111, 0.5439)
La (0.5889, 0.5889, 0.4561)
La (0.7116, 0.7116, 0.8940)
La (0.7225, 0.7225, 0.2516)
Dy (0.5000, 0.5000, 0.0000)
Ho (0.0650, 0.0650, 0.7016)
Ho (0.1673, 0.1673, 0.3641)
Ho (0.8327, 0.8327, 0.6359)
Ho (0.9350, 0.9350, 0.2984)

Most stable: model A (next structure +19.0 kJ/mol of atoms)

Model A:
First-principles (PBE) data for a geometry-optimized La2Dy9Ho structure, as listed in Alexandria.

## Properties
Calculated volume, A^3/atom: 32.33
Spin magnetization, μB/f.u.: 0.00
Space group: P6/mmm (191)

a = 11.3466 Å, b = 11.3466 Å, c = 3.4794 Å
α = 90.00°, β = 90.00°, γ = 120.00°
Atoms (fractional coordinates):
La (0.3333, 0.6667, 0.0000)
La (0.6667, 0.3333, 0.0000)
Dy (0.0000, 0.5000, 0.0000)
Dy (0.1711, 0.3423, 0.5000)
Dy (0.1711, 0.8289, 0.5000)
Dy (0.3423, 0.1711, 0.5000)
Dy (0.5000, 0.0000, 0.0000)
Dy (0.5000, 0.5000, 0.0000)
Dy (0.6577, 0.8289, 0.5000)
Dy (0.8289, 0.1711, 0.5000)
Dy (0.8289, 0.6577, 0.5000)
Ho (0.0000, 0.0000, 0.0000)

Model B:
First-principles (PBE) data for a geometry-optimized La2Dy9Ho structure, as listed in Alexandria.

## Properties
Calculated volume, A^3/atom: 32.39
Spin magnetization, μB/f.u.: 0.00
Space group: P4/mmm (123)

a = 5.0576 Å, b = 5.0576 Å, c = 15.1935 Å
α = 90.00°, β = 90.00°, γ = 90.00°
Atoms (fractional coordinates):
La (0.0000, 0.0000, 0.1665)
La (0.0000, 0.0000, 0.8335)
Dy (0.0000, 0.5000, 0.0000)
Dy (0.0000, 0.5000, 0.3370)
Dy (0.0000, 0.5000, 0.6630)
Dy (0.5000, 0.0000, 0.0000)
Dy (0.5000, 0.0000, 0.3370)
Dy (0.5000, 0.0000, 0.6630)
Dy (0.5000, 0.5000, 0.1689)
Dy (0.5000, 0.5000, 0.5000)
Dy (0.5000, 0.5000, 0.8311)
Ho (0.0000, 0.0000, 0.5000)

Most stable: model B (next structure +5.7 kJ/mol of atoms)